1.
Ho2ErCo2C2N3 PBE optimized geometry; volume = 113 Å³/cell; space-group type = I4/mmm, No. 139; DFT total energy = -8.0904 eV/atom
1.0
-1.7121 1.7121 9.6451
1.7121 -1.7121 9.6451
1.7121 1.7121 -9.6451
Ho Er Co C N
2 1 2 2 3
direct
0.1266 0.1266 0.0000 Ho
0.8734 0.8734 0.0000 Ho
0.5000 0.5000 0.0000 Er
0.2500 0.7500 0.5000 Co
0.7500 0.2500 0.5000 Co
0.3066 0.3066 0.0000 C
0.6934 0.6934 0.0000 C
0.0000 0.0000 0.0000 N
0.3808 0.3808 0.0000 N
0.6192 0.6192 0.0000 N

2.
LiCdN PBE optimized geometry; volume = 104 Å³/cell; space-group type = P-62m, No. 189; DFT total energy = -3.5612 eV/atom
1.0
5.9082 0.0000 0.0000
-2.9541 5.1166 0.0000
0.0000 0.0000 3.4262
Li Cd N
3 3 3
direct
0.0000 0.2454 0.0000 Li
0.2454 0.0000 0.0000 Li
0.7546 0.7546 0.0000 Li
0.0000 0.5998 0.5000 Cd
0.4002 0.4002 0.5000 Cd
0.5998 0.0000 0.5000 Cd
0.0000 0.0000 0.5000 N
0.3333 0.6667 0.0000 N
0.6667 0.3333 0.0000 N

3.
Tb2Ni2Sn PBE optimized geometry; volume = 201 Å³/cell; space-group type = P4/mbm, No. 127; DFT total energy = -5.4775 eV/atom
1.0
7.3737 0.0000 0.0000
0.0000 7.3737 0.0000
0.0000 0.0000 3.6877
Tb Ni Sn
4 4 2
direct
0.1748 0.3252 0.0000 Tb
0.3252 0.8252 0.0000 Tb
0.6748 0.1748 0.0000 Tb
0.8252 0.6748 0.0000 Tb
0.1206 0.6206 0.5000 Ni
0.3794 0.1206 0.5000 Ni
0.6206 0.8794 0.5000 Ni
0.8794 0.3794 0.5000 Ni
0.0000 0.0000 0.5000 Sn
0.5000 0.5000 0.5000 Sn